The following is a GGA+U calculation of a geometry-optimized Li3AlMo2As2O14 structure, from the Alexandria database. Values from VASP.

Quantum ESPRESSO input file:
```
&SYSTEM
  ibrav = 0, nat = 22, ntyp = 5
/
ATOMIC_SPECIES
Li 6.94 Li.upf
Al 26.98 Al.upf
Mo 95.94 Mo.upf
As 74.92 As.upf
O 16.00 O.upf
ATOMIC_POSITIONS crystal
Li 0.000 0.000 0.000
Li 0.194 0.884 0.319
Li 0.806 0.116 0.681
Al 0.500 0.500 0.500
Mo 0.492 0.338 0.853
Mo 0.508 0.662 0.147
As 0.151 0.728 0.674
As 0.849 0.272 0.326
O 0.134 0.303 0.459
O 0.134 0.482 0.768
O 0.157 0.007 0.788
O 0.284 0.838 0.097
O 0.322 0.337 0.035
O 0.430 0.793 0.602
O 0.443 0.632 0.324
O 0.557 0.368 0.676
O 0.570 0.207 0.398
O 0.678 0.663 0.965
O 0.716 0.162 0.903
O 0.843 0.993 0.212
O 0.866 0.518 0.232
O 0.866 0.697 0.541
CELL_PARAMETERS angstrom
5.273 0.000 0.000
-1.464 5.295 0.000
-2.004 -1.739 9.233
```

As for the space group: No. 2. The density of states at the Fermi level is 0.000 states/eV per atom. For the total energy, the calculation gives -6.44 eV/atom. The total moment is 0.00 μB/f.u.